(1)
The following is a PBE calculation of an optimized crystal structure of MoPCl, from Alexandria.

Results
The calculated density comes out at 4.8 g cm⁻³. Its crystal system is cubic. The value obtained for the energy relative to the elements, uncorrected is 0.17 eV per atom. The energy above the most stable polymorph in this dataset comes out at 34.9 kJ/mol of atoms.

Cell: 4.292 4.292 4.292 Å, 60.00 60.00 60.00°
Fractional positions:
Mo: 0.000 0.000 0.000
P: 0.750 0.750 0.750
Cl: 0.250 0.250 0.250

***

(2)
The following is a PBE calculation of an optimized crystal structure of Pr2Sm7Th2, from Alexandria.

Results
The calculated density comes out at 7.8 g cm⁻³. Its crystal system is monoclinic. The formation energy is 0.2579 eV per atom. The energy above the most stable polymorph in this dataset comes out at 7.2 kJ/mol of atoms.

Cell: 7.783 7.783 6.919 Å, 104.88 104.88 97.82°
Fractional positions:
Pr: 0.137 0.137 0.430
Pr: 0.863 0.863 0.570
Sm: 0.080 0.577 0.303
Sm: 0.203 0.203 0.986
Sm: 0.423 0.920 0.697
Sm: 0.500 0.500 0.500
Sm: 0.577 0.080 0.303
Sm: 0.797 0.797 0.014
Sm: 0.920 0.423 0.697
Th: 0.348 0.652 0.000
Th: 0.652 0.348 0.000

***

(3)
The following is a PBE calculation of an optimized crystal structure of Th6HgBi5, from Alexandria.

Results
The calculated density comes out at 10.8 g cm⁻³. Its crystal system is monoclinic. The formation energy is -0.4886 eV per atom.

Cell: 7.925 7.925 7.918 Å, 99.60 99.60 119.84°
Fractional positions:
Th: 0.079 0.401 0.740
Th: 0.237 0.237 0.252
Th: 0.401 0.079 0.740
Th: 0.599 0.921 0.260
Th: 0.763 0.763 0.748
Th: 0.921 0.599 0.260
Hg: 0.000 0.000 0.500
Bi: 0.174 0.826 0.000
Bi: 0.335 0.665 0.500
Bi: 0.500 0.500 0.000
Bi: 0.665 0.335 0.500
Bi: 0.826 0.174 0.000

***

(4)
The following is a PBE calculation of an optimized crystal structure of Ho4ThCd, from Alexandria.

Results
The calculated density comes out at 9.3 g cm⁻³. Its crystal system is tetragonal. The formation energy is -0.0825 eV per atom. The energy above the most stable polymorph in this dataset comes out at 0.0 kJ/mol of atoms.

Cell: 3.564 3.564 14.053 Å, 90.00 90.00 90.00°
Fractional positions:
Ho: 0.000 0.000 0.146
Ho: 0.000 0.000 0.854
Ho: 0.500 0.500 0.327
Ho: 0.500 0.500 0.673
Th: 0.000 0.000 0.500
Cd: 0.500 0.500 0.000

***

(5)
The following is a PBE calculation of an optimized crystal structure of CaTmMg2Hg4, from Alexandria.

Results
The calculated density comes out at 9.5 g cm⁻³. Its crystal system is trigonal. The formation energy is -0.4268 eV per atom.

Cell: 8.869 8.869 8.869 Å, 33.14 33.14 33.14°
Fractional positions:
Ca: 0.000 0.000 0.000
Tm: 0.500 0.500 0.500
Mg: 0.249 0.249 0.249
Mg: 0.751 0.751 0.751
Hg: 0.126 0.126 0.126
Hg: 0.377 0.377 0.377
Hg: 0.623 0.623 0.623
Hg: 0.874 0.874 0.874

***

(6)
The following is a PBE calculation of an optimized crystal structure of Ni2TeSe2, from Alexandria.

Results
The calculated density comes out at 6.6 g cm⁻³. Its crystal system is tetragonal. The value obtained for the energy relative to the elements, uncorrected is -0.07 eV per atom. The energy above the most stable polymorph in this dataset comes out at 0.9 kJ/mol of atoms.

Cell: 8.444 8.444 8.444 Å, 155.66 155.66 34.69°
Fractional positions:
Ni: 0.250 0.750 0.500
Ni: 0.750 0.250 0.500
Te: 0.000 0.000 0.000
Se: 0.346 0.346 0.000
Se: 0.654 0.654 0.000

***

(7)
The following is a PBE calculation of an optimized crystal structure of TlPtN2, from Alexandria.

Results
The calculated density comes out at 10.5 g cm⁻³. Its crystal system is tetragonal. The value obtained for the energy relative to the elements, uncorrected is 0.99 eV per atom. The energy above the most stable polymorph in this dataset comes out at 15.0 kJ/mol of atoms.

Cell: 5.649 5.649 5.649 Å, 115.28 115.28 98.39°
Fractional positions:
Tl: 0.000 0.000 0.000
Tl: 0.750 0.250 0.500
Pt: 0.250 0.750 0.500
Pt: 0.500 0.500 0.000
N: 0.231 0.125 0.606
N: 0.375 0.769 0.894
N: 0.519 0.625 0.394
N: 0.875 0.481 0.106

***

(8)
The following is a PBE calculation of an optimized crystal structure of Rb2MnV, from Alexandria.

Results
The calculated density comes out at 2.3 g cm⁻³. Its crystal system is tetragonal. The formation energy is 1.0851 eV per atom. The energy above the most stable polymorph in this dataset comes out at 0.0 kJ/mol of atoms.

Cell: 9.679 9.679 9.679 Å, 93.19 93.19 152.71°
Fractional positions:
Rb: 0.375 0.204 0.329
Rb: 0.796 0.125 0.171
Rb: 0.875 0.046 0.671
Rb: 0.954 0.625 0.829
Mn: 0.000 0.000 0.000
Mn: 0.750 0.250 0.500
V: 0.250 0.750 0.500
V: 0.500 0.500 0.000